# 1
In11Bi4: optimized geometry, PBE.

a b c (Å): 6.3034 11.7977 11.7977
angles (deg): 90.00 90.00 90.00
Closest atoms and distances in Å follow each position.
Sites, in units of the cell vectors:
1 In 0.2508 0.1798 0.8202  7 In 3.14-3.51, 2 Bi 3.49
2 In 0.7492 0.1798 0.8202  7 In 3.14-3.51, 2 Bi 3.49
3 In 0.5000 0.2306 0.5705  4 Bi 3.26-3.52, 6 In 3.29-3.51
4 In 0.7508 0.6798 0.6798  7 In 3.14-3.51, 2 Bi 3.49
5 In 0.0000 0.0000 0.0000  12 In 3.29-3.50
6 In 0.0000 0.2694 0.0705  4 Bi 3.26-3.52, 6 In 3.29-3.51
7 In 0.2492 0.3202 0.3202  7 In 3.14-3.51, 2 Bi 3.49
8 In 0.5000 0.7694 0.4295  4 Bi 3.26-3.52, 6 In 3.29-3.51
9 In 0.0000 0.9295 0.7306  4 Bi 3.26-3.52, 6 In 3.29-3.51
10 In 0.5000 0.5000 0.5000  12 In 3.29-3.50
11 In 0.0000 0.0705 0.2694  4 Bi 3.26-3.52, 6 In 3.29-3.51
12 In 0.0000 0.7306 0.9295  4 Bi 3.26-3.52, 6 In 3.29-3.51
13 In 0.2508 0.8202 0.1798  7 In 3.14-3.51, 2 Bi 3.49
14 In 0.7508 0.3202 0.3202  7 In 3.14-3.51, 2 Bi 3.49
15 In 0.5000 0.5705 0.2306  4 Bi 3.26-3.52, 6 In 3.29-3.51
16 In 0.7492 0.8202 0.1798  7 In 3.14-3.51, 2 Bi 3.49
17 In 0.5000 0.9084 0.9084  1 In 3.06, 2 Bi 3.13
18 In 0.2492 0.6798 0.6798  7 In 3.14-3.51, 2 Bi 3.49
19 In 0.0000 0.5916 0.4084  1 In 3.06, 2 Bi 3.13
20 In 0.0000 0.4084 0.5916  1 In 3.06, 2 Bi 3.13
21 In 0.5000 0.0916 0.0916  1 In 3.06, 2 Bi 3.13
22 In 0.5000 0.4295 0.7694  4 Bi 3.26-3.52, 6 In 3.29-3.51
23 Bi 0.0000 0.1454 0.5585  6 In 3.13-3.49
24 Bi 0.0000 0.5585 0.1454  6 In 3.13-3.49
25 Bi 0.0000 0.4415 0.8546  6 In 3.13-3.49
26 Bi 0.5000 0.0585 0.3546  6 In 3.13-3.49
27 Bi 0.5000 0.6454 0.9415  6 In 3.13-3.49
28 Bi 0.5000 0.3546 0.0585  6 In 3.13-3.49
29 Bi 0.5000 0.9415 0.6454  6 In 3.13-3.49
30 Bi 0.0000 0.8546 0.4415  6 In 3.13-3.49

* calculated formation energy: 83 kJ/mol of formula units
* density: 7.9 g cm⁻³

=====

# 2
In3Bi: optimized geometry, PBE.

a b c (Å): 4.9496 4.8369 4.8460
angles (deg): 90.00 90.00 90.00
Closest atoms and distances in Å follow each position.
Sites, in units of the cell vectors:
1 In 0.5000 0.0000 0.4160  8 In 3.42-3.47, 4 Bi 3.46
2 In 0.0000 0.0000 0.9168  4 Bi 3.42-3.43, 8 In 3.46-3.47
3 In 0.5000 0.5000 0.9165  8 In 3.42-3.46, 4 Bi 3.46-3.47
4 Bi 0.0000 0.5000 0.4173  12 In 3.42-3.47

* calculated formation energy: 6 kJ/mol of formula units
* density: 7.9 g cm⁻³

=====

# 3
In5Bi: optimized geometry, PBE.

a b c (Å): 5.1333 5.0792 7.0220
angles (deg): 111.20 90.00 90.00
Closest atoms and distances in Å follow each position.
Sites, in units of the cell vectors:
1 In 0.5000 0.5000 0.0000  8 In 3.37, 4 Bi 3.61
2 In 0.5000 0.1694 0.3387  10 In 3.30-3.61, 2 Bi 3.39
3 In 0.0000 0.3329 0.6659  10 In 3.34-3.61, 2 Bi 3.35
4 In 0.5000 0.8306 0.6613  10 In 3.30-3.61, 2 Bi 3.39
5 In 0.0000 0.6671 0.3341  10 In 3.34-3.61, 2 Bi 3.35
6 Bi 0.0000 0.0000 0.0000  12 In 3.35-3.61

* calculated formation energy: 7 kJ/mol of formula units
* energy above the lowest structure with this stoichiometry: 0.000 eV per atom
* density: 7.6 g cm⁻³

=====

# 4
In3Bi: optimized geometry, PBE.

a b c (Å): 3.4372 5.7770 6.7367
angles (deg): 115.39 104.78 90.00
Closest atoms and distances in Å follow each position.
Sites, in units of the cell vectors:
1 In 0.7494 0.1053 0.4988  9 In 3.36-3.63, 3 Bi 3.45-3.66
2 In 0.2506 0.6065 0.5012  9 In 3.36-3.63, 3 Bi 3.45-3.66
3 In 0.5000 0.4795 0.0000  4 Bi 3.34-3.38, 8 In 3.44-3.63
4 Bi 0.0000 0.9754 0.0000  10 In 3.34-3.66, 2 Bi 3.44

* calculated formation energy: 12 kJ/mol of formula units
* density: 7.9 g cm⁻³

=====

# 5
In2Bi: optimized geometry, PBE.

a b c (Å): 5.5214 5.5214 3.3777
angles (deg): 90.00 90.00 120.00
Closest atoms and distances in Å follow each position.
Sites, in units of the cell vectors:
1 In 0.6667 0.3333 0.5000  5 In 3.19-3.38
2 In 0.3333 0.6667 0.5000  5 In 3.19-3.38
3 Bi 0.0000 0.0000 0.0000  2 Bi 3.38, 12 In 3.61

* calculated formation energy: 20 kJ/mol of formula units
* density: 8.2 g cm⁻³

=====

# 6
In3Bi: optimized geometry, PBE.

a b c (Å): 4.9132 4.9132 5.9313
angles (deg): 114.47 114.47 90.00
Closest atoms and distances in Å follow each position.
Sites, in units of the cell vectors:
1 In 0.7500 0.2500 0.5000  8 In 3.44-3.47, 4 Bi 3.44
2 In 0.5000 0.5000 0.0000  8 In 3.44, 4 Bi 3.47
3 In 0.2500 0.7500 0.5000  8 In 3.44-3.47, 4 Bi 3.44
4 Bi 0.0000 0.0000 0.0000  12 In 3.44-3.47

* calculated formation energy: 5 kJ/mol of formula units
* density: 7.9 g cm⁻³

=====

# 7
InBi3: optimized geometry, PBE.

a b c (Å): 3.4354 6.5155 5.7756
angles (deg): 90.00 90.00 90.00
Closest atoms and distances in Å follow each position.
Sites, in units of the cell vectors:
1 Bi 0.5000 0.0000 0.6680  4 Bi 3.26-3.44, 4 In 3.36
2 Bi 0.0000 0.5000 0.1650  2 In 3.26, 6 Bi 3.36-3.44
3 Bi 0.5000 0.5000 0.6650  8 Bi 3.26-3.44
4 In 0.0000 0.0000 0.1687  6 Bi 3.26-3.36, 2 In 3.44

* calculated formation energy: 25 kJ/mol of formula units
* density: 9.5 g cm⁻³

=====

# 8
In4Bi: optimized geometry, PBE.

a b c (Å): 6.3697 7.2286 7.9318
angles (deg): 123.36 90.00 90.00
Closest atoms and distances in Å follow each position.
Sites, in units of the cell vectors:
1 In 0.3831 0.7151 0.0274  4 In 3.05-3.42, 2 Bi 3.22-3.28
2 In 0.3861 0.2813 0.3080  4 In 3.05-3.42, 2 Bi 3.22-3.27
3 In 0.6139 0.7187 0.6920  4 In 3.05-3.42, 2 Bi 3.22-3.27
4 In 0.8831 0.2849 0.4726  4 In 3.05-3.42, 2 Bi 3.22-3.28
5 In 0.1169 0.7151 0.5274  4 In 3.05-3.42, 2 Bi 3.22-3.28
6 In 0.8861 0.7187 0.1920  4 In 3.05-3.42, 2 Bi 3.22-3.27
7 In 0.1139 0.2813 0.8080  4 In 3.05-3.42, 2 Bi 3.22-3.27
8 In 0.6169 0.2849 0.9726  4 In 3.05-3.42, 2 Bi 3.22-3.28
9 Bi 0.5000 0.0000 0.5000  8 In 3.22-3.28
10 Bi 0.0000 0.0000 0.0000  8 In 3.22-3.28

* calculated formation energy: 27 kJ/mol of formula units
* energy above the lowest structure with this stoichiometry: 0.033 eV per atom
* density: 7.3 g cm⁻³

=====

# 9
In5Bi: optimized geometry, PBE.

a b c (Å): 5.6542 5.9979 6.5640
angles (deg): 65.09 64.49 61.88
Closest atoms and distances in Å follow each position.
Sites, in units of the cell vectors:
1 In 0.0310 0.9356 0.0025  9 In 3.31-3.57, 1 Bi 3.33
2 In 0.3572 0.2888 0.9969  9 In 3.30-3.58, 1 Bi 3.32
3 In 0.6945 0.6104 0.0006  8 In 3.25-3.58, 2 Bi 3.38-3.39
4 In 0.3653 0.7834 0.4860  7 In 3.25-3.51, 3 Bi 3.33-3.54
5 In 0.0243 0.4387 0.5126  7 In 3.26-3.51, 3 Bi 3.33-3.53
6 Bi 0.6944 0.1098 0.5014  10 In 3.32-3.54

* calculated formation energy: 16 kJ/mol of formula units
* energy above the lowest structure with this stoichiometry: 0.016 eV per atom
* density: 7.6 g cm⁻³

=====

# 10
In2Bi: optimized geometry, PBE.

a b c (Å): 4.1587 4.1587 5.8669
angles (deg): 110.98 110.98 90.21
Closest atoms and distances in Å follow each position.
Sites, in units of the cell vectors:
1 In 0.1671 0.1671 0.3303  5 In 3.34-3.43, 5 Bi 3.38-3.39
2 In 0.8329 0.8329 0.6697  5 In 3.34-3.43, 5 Bi 3.38-3.39
3 Bi 0.5000 0.5000 0.0000  10 In 3.38-3.39

* calculated formation energy: 13 kJ/mol of formula units
* density: 8.3 g cm⁻³

=====

# 11
In2Bi: optimized geometry, PBE.

a b c (Å): 6.2971 6.2971 6.2971
angles (deg): 60.00 60.00 60.00
Closest atoms and distances in Å follow each position.
Sites, in units of the cell vectors:
1 Bi 0.0000 0.0000 0.0000  12 In 3.69, 4 Bi 3.86
2 Bi 0.2500 0.2500 0.2500  12 In 3.69, 4 Bi 3.86
3 In 0.1250 0.6250 0.6250  6 In 3.15
4 In 0.6250 0.6250 0.6250  6 In 3.15
5 In 0.6250 0.6250 0.1250  6 In 3.15
6 In 0.6250 0.1250 0.6250  6 In 3.15

* calculated formation energy: 44 kJ/mol of formula units
* density: 8.3 g cm⁻³

=====

# 12
In4Bi: optimized geometry, PBE.

a b c (Å): 5.9879 5.9879 5.9879
angles (deg): 90.00 90.00 90.00
Closest atoms and distances in Å follow each position.
Sites, in units of the cell vectors:
1 In 0.0000 0.5000 0.5000  2 Bi 2.99
2 In 0.0000 0.0000 0.0000  12 In 4.23
3 In 0.5000 0.0000 0.5000  2 Bi 2.99
4 In 0.5000 0.5000 0.0000  2 Bi 2.99
5 Bi 0.5000 0.5000 0.5000  6 In 2.99

* calculated formation energy: 274 kJ/mol of formula units
* energy above the lowest structure with this stoichiometry: 0.546 eV per atom
* density: 5.2 g cm⁻³

=====

Repeat the fifth record exactly.
In2Bi: optimized geometry, PBE.

a b c (Å): 5.5214 5.5214 3.3777
angles (deg): 90.00 90.00 120.00
Closest atoms and distances in Å follow each position.
Sites, in units of the cell vectors:
1 In 0.6667 0.3333 0.5000  5 In 3.19-3.38
2 In 0.3333 0.6667 0.5000  5 In 3.19-3.38
3 Bi 0.0000 0.0000 0.0000  2 Bi 3.38, 12 In 3.61

* calculated formation energy: 20 kJ/mol of formula units
* density: 8.2 g cm⁻³